Computed, not measured: MnGeO3 after structural relaxation at the PBE+U level of DFT.

Lattice parameters (Å, degrees): 3.7014 3.7014 3.7014 90.00 90.00 90.00
Closest atoms and distances in Å follow each position.
Sites, in units of the cell vectors:
Mn  0.0000  0.0000  0.0000  12 O 2.62
Ge  0.5000  0.5000  0.5000  6 O 1.85
O  0.0000  0.5000  0.5000  2 Ge 1.85
O  0.5000  0.0000  0.5000  2 Ge 1.85
O  0.5000  0.5000  0.0000  2 Ge 1.85

***

Computed, not measured: MnGeO4 after structural relaxation at the PBE+U level of DFT.

Lattice parameters (Å, degrees): 5.3482 5.3482 5.3482 107.58 107.58 113.32
Closest atoms and distances in Å follow each position.
Sites, in units of the cell vectors:
Mn  0.0000  0.0000  0.0000  6 O 1.92-1.94
Mn  0.7500  0.2500  0.5000  6 O 1.92-1.94
Ge  0.2482  0.7482  0.5000  6 O 1.89-1.94
Ge  0.4982  0.4982  0.0000  6 O 1.89-1.94
O  0.1953  0.5020  0.6934  2 Ge 1.89-1.94, 1 Mn 1.92
O  0.2520  0.0586  0.8066  2 Ge 1.89-1.94, 1 Mn 1.92
O  0.2520  0.4453  0.1934  2 Ge 1.89-1.94, 1 Mn 1.92
O  0.3035  0.9965  0.3070  1 Ge 1.90, 2 Mn 1.93-1.94
O  0.6894  0.9965  0.6930  1 Ge 1.90, 2 Mn 1.93-1.94
O  0.7465  0.5535  0.8070  1 Ge 1.90, 2 Mn 1.93-1.94
O  0.7465  0.9394  0.1930  1 Ge 1.90, 2 Mn 1.93-1.94
O  0.8086  0.5020  0.3066  2 Ge 1.89-1.94, 1 Mn 1.92

***

Computed, not measured: MnGeO3 after structural relaxation at the PBE+U level of DFT.

Lattice parameters (Å, degrees): 6.8814 6.8814 5.3552 98.61 98.61 86.34
Closest atoms and distances in Å follow each position.
Sites, in units of the cell vectors:
Mn  0.0957  0.9043  0.7500  6 O 2.17-2.27
Mn  0.2783  0.7217  0.2500  4 O 2.12-2.26
Mn  0.7217  0.2783  0.7500  4 O 2.12-2.26
Mn  0.9043  0.0957  0.2500  6 O 2.17-2.27
Ge  0.2055  0.3895  0.7172  4 O 1.73-1.83
Ge  0.3895  0.2055  0.2172  4 O 1.73-1.83
Ge  0.6105  0.7945  0.7828  4 O 1.73-1.83
Ge  0.7945  0.6105  0.2828  4 O 1.73-1.83
O  0.0256  0.2106  0.6409  1 Ge 1.76
O  0.1434  0.6177  0.8765  1 Ge 1.73
O  0.2106  0.0256  0.1409  1 Ge 1.76
O  0.2934  0.4182  0.4189  2 Ge 1.83
O  0.3823  0.8566  0.6235  1 Ge 1.73
O  0.4182  0.2934  0.9189  2 Ge 1.83
O  0.5818  0.7066  0.0811  2 Ge 1.83
O  0.6177  0.1434  0.3765  1 Ge 1.73
O  0.7066  0.5818  0.5811  2 Ge 1.83
O  0.7894  0.9744  0.8591  1 Ge 1.76
O  0.8566  0.3823  0.1235  1 Ge 1.73
O  0.9744  0.7894  0.3591  1 Ge 1.76

***

Computed, not measured: Mn3Ge5O12 after structural relaxation at the PBE+U level of DFT.

Lattice parameters (Å, degrees): 10.6827 10.6827 10.6827 109.47 109.47 109.47
Closest atoms and distances in Å follow each position.
Sites, in units of the cell vectors:
Mn  0.1250  0.2500  0.3750  8 O 2.34-2.46
Mn  0.1250  0.3750  0.7500  8 O 2.34-2.46
Mn  0.2500  0.3750  0.1250  8 O 2.34-2.46
Mn  0.2500  0.8750  0.6250  8 O 2.34-2.46
Mn  0.3750  0.1250  0.2500  8 O 2.34-2.46
Mn  0.3750  0.7500  0.1250  8 O 2.34-2.46
Mn  0.6250  0.2500  0.8750  8 O 2.34-2.46
Mn  0.6250  0.8750  0.7500  8 O 2.34-2.46
Mn  0.7500  0.1250  0.3750  8 O 2.34-2.46
Mn  0.7500  0.6250  0.8750  8 O 2.34-2.46
Mn  0.8750  0.6250  0.2500  8 O 2.34-2.46
Mn  0.8750  0.7500  0.6250  8 O 2.34-2.46
Ge  0.0000  0.0000  0.0000  6 O 2.05
Ge  0.0000  0.0000  0.5000  6 O 2.05
Ge  0.0000  0.5000  0.0000  6 O 2.05
Ge  0.0000  0.5000  0.5000  6 O 2.05
Ge  0.1250  0.7500  0.8750  4 O 1.81
Ge  0.1250  0.8750  0.2500  4 O 1.81
Ge  0.2500  0.1250  0.8750  4 O 1.81
Ge  0.2500  0.6250  0.3750  4 O 1.81
Ge  0.3750  0.2500  0.6250  4 O 1.81
Ge  0.3750  0.6250  0.7500  4 O 1.81
Ge  0.5000  0.0000  0.0000  6 O 2.05
Ge  0.5000  0.0000  0.5000  6 O 2.05
Ge  0.5000  0.5000  0.0000  6 O 2.05
Ge  0.5000  0.5000  0.5000  6 O 2.05
Ge  0.6250  0.3750  0.2500  4 O 1.81
Ge  0.6250  0.7500  0.3750  4 O 1.81
Ge  0.7500  0.3750  0.6250  4 O 1.81
Ge  0.7500  0.8750  0.1250  4 O 1.81
Ge  0.8750  0.1250  0.7500  4 O 1.81
Ge  0.8750  0.2500  0.1250  4 O 1.81
O  0.0257  0.2085  0.1249  1 Ge 1.81
O  0.0257  0.3172  0.9009  1 Ge 1.81
O  0.0837  0.7085  0.6828  1 Ge 1.81
O  0.0837  0.8751  0.4009  1 Ge 1.81
O  0.0991  0.6249  0.4163  1 Ge 1.81
O  0.0991  0.9743  0.6828  1 Ge 1.81
O  0.1249  0.0257  0.2085  1 Ge 1.81
O  0.1249  0.5991  0.9163  1 Ge 1.81
O  0.1828  0.2085  0.5837  1 Ge 1.81
O  0.1828  0.4743  0.5991  1 Ge 1.81
O  0.2085  0.1249  0.0257  1 Ge 1.81
O  0.2085  0.5837  0.1828  1 Ge 1.81
O  0.2915  0.3172  0.9163  1 Ge 1.81
O  0.2915  0.4743  0.3751  1 Ge 1.81
O  0.3172  0.9009  0.0257  1 Ge 1.81
O  0.3172  0.9163  0.2915  1 Ge 1.81
O  0.3751  0.2915  0.4743  1 Ge 1.81
O  0.3751  0.5837  0.9009  1 Ge 1.81
O  0.4009  0.0837  0.8751  1 Ge 1.81
O  0.4009  0.8172  0.5257  1 Ge 1.81
O  0.4163  0.0991  0.6249  1 Ge 1.81
O  0.4163  0.8172  0.7915  1 Ge 1.81
O  0.4743  0.3751  0.2915  1 Ge 1.81
O  0.4743  0.5991  0.1828  1 Ge 1.81
O  0.5257  0.4009  0.8172  1 Ge 1.81
O  0.5257  0.6249  0.7085  1 Ge 1.81
O  0.5837  0.1828  0.2085  1 Ge 1.81
O  0.5837  0.9009  0.3751  1 Ge 1.81
O  0.5991  0.1828  0.4743  1 Ge 1.81
O  0.5991  0.9163  0.1249  1 Ge 1.81
O  0.6249  0.4163  0.0991  1 Ge 1.81
O  0.6249  0.7085  0.5257  1 Ge 1.81
O  0.6828  0.0837  0.7085  1 Ge 1.81
O  0.6828  0.0991  0.9743  1 Ge 1.81
O  0.7085  0.5257  0.6249  1 Ge 1.81
O  0.7085  0.6828  0.0837  1 Ge 1.81
O  0.7915  0.4163  0.8172  1 Ge 1.81
O  0.7915  0.8751  0.9743  1 Ge 1.81
O  0.8172  0.5257  0.4009  1 Ge 1.81
O  0.8172  0.7915  0.4163  1 Ge 1.81
O  0.8751  0.4009  0.0837  1 Ge 1.81
O  0.8751  0.9743  0.7915  1 Ge 1.81
O  0.9009  0.0257  0.3172  1 Ge 1.81
O  0.9009  0.3751  0.5837  1 Ge 1.81
O  0.9163  0.1249  0.5991  1 Ge 1.81
O  0.9163  0.2915  0.3172  1 Ge 1.81
O  0.9743  0.6828  0.0991  1 Ge 1.81
O  0.9743  0.7915  0.8751  1 Ge 1.81

***

Computed, not measured: Mn3GeO4 after structural relaxation at the PBE+U level of DFT.

Lattice parameters (Å, degrees): 6.7598 5.7739 6.1032 90.00 90.00 90.00
Closest atoms and distances in Å follow each position.
Sites, in units of the cell vectors:
Mn  0.0000  0.1688  0.0000  4 O 2.00-2.16
Mn  0.2421  0.3363  0.5040  4 O 1.99-2.15
Mn  0.2579  0.6637  0.0040  4 O 1.99-2.15
Mn  0.5000  0.8312  0.5000  4 O 2.00-2.16
Mn  0.7421  0.6637  0.0040  4 O 1.99-2.15
Mn  0.7579  0.3363  0.5040  4 O 1.99-2.15
Ge  0.0000  0.8336  0.4774  3 O 2.01-2.03
Ge  0.5000  0.1664  0.9774  3 O 2.01-2.03
O  0.0000  0.1566  0.3539  1 Ge 2.01, 3 Mn 2.14-2.16
O  0.0000  0.8248  0.9653  3 Mn 1.99-2.00
O  0.2433  0.6726  0.3566  1 Ge 2.03, 3 Mn 2.14-2.15
O  0.2567  0.3274  0.8566  1 Ge 2.03, 3 Mn 2.14-2.15
O  0.5000  0.1752  0.4653  3 Mn 1.99-2.00
O  0.5000  0.8434  0.8539  1 Ge 2.01, 3 Mn 2.14-2.16
O  0.7433  0.3274  0.8566  1 Ge 2.03, 3 Mn 2.14-2.15
O  0.7567  0.6726  0.3566  1 Ge 2.03, 3 Mn 2.14-2.15

***

Computed, not measured: Mn2Ge2O5 after structural relaxation at the PBE+U level of DFT.

Lattice parameters (Å, degrees): 7.8650 7.8650 5.2357 105.47 105.47 26.26
Closest atoms and distances in Å follow each position.
Sites, in units of the cell vectors:
Mn  0.0844  0.0844  0.3426  3 O 2.11-2.12
Mn  0.9156  0.9156  0.6574  3 O 2.11-2.12
Ge  0.3746  0.3746  0.0755  3 O 1.82-1.92
Ge  0.6254  0.6254  0.9245  3 O 1.82-1.92
O  0.1567  0.1567  0.0510  2 Ge 1.92, 1 Mn 2.12
O  0.3985  0.3985  0.4348  1 Ge 1.82
O  0.5000  0.5000  0.0000  2 Ge 2.06
O  0.6015  0.6015  0.5652  1 Ge 1.82
O  0.8433  0.8433  0.9490  2 Ge 1.92, 1 Mn 2.12

***

Computed, not measured: MnGe3O after structural relaxation at the PBE+U level of DFT.

Lattice parameters (Å, degrees): 4.4416 4.4416 4.4416 90.00 90.00 90.00
Closest atoms and distances in Å follow each position.
Sites, in units of the cell vectors:
Mn  0.0000  0.0000  0.0000  12 Ge 3.14
Ge  0.0000  0.5000  0.5000  2 O 2.22
Ge  0.5000  0.0000  0.5000  2 O 2.22
Ge  0.5000  0.5000  0.0000  2 O 2.22
O  0.5000  0.5000  0.5000  6 Ge 2.22

***

Computed, not measured: Mn3Ge2O8 after structural relaxation at the PBE+U level of DFT.

Lattice parameters (Å, degrees): 6.5978 6.5978 8.2404 90.00 90.00 122.72
Closest atoms and distances in Å follow each position.
Sites, in units of the cell vectors:
Mn  0.0000  0.0000  0.0000  6 O 2.10-2.20
Mn  0.1133  0.3867  0.2500  4 O 1.95-2.05
Mn  0.3867  0.1133  0.7500  4 O 1.95-2.05
Mn  0.5000  0.5000  0.5000  6 O 2.10-2.20
Mn  0.6133  0.8867  0.2500  4 O 1.95-2.05
Mn  0.8867  0.6133  0.7500  4 O 1.95-2.05
Ge  0.1251  0.8749  0.3937  4 O 1.78-1.83
Ge  0.3749  0.6251  0.8937  4 O 1.78-1.83
Ge  0.6251  0.3749  0.1063  4 O 1.78-1.83
Ge  0.8749  0.1251  0.6063  4 O 1.78-1.83
O  0.0015  0.9985  0.2550  1 Ge 1.83
O  0.1128  0.3559  0.4848  1 Ge 1.79, 1 Mn 1.95
O  0.1441  0.3872  0.0152  1 Ge 1.79, 1 Mn 1.95
O  0.2490  0.7510  0.7707  1 Ge 1.78
O  0.2510  0.7490  0.2707  1 Ge 1.78
O  0.3559  0.1128  0.5152  1 Ge 1.79, 1 Mn 1.95
O  0.3872  0.1441  0.9848  1 Ge 1.79, 1 Mn 1.95
O  0.4985  0.5015  0.7550  1 Ge 1.83
O  0.5015  0.4985  0.2450  1 Ge 1.83
O  0.6128  0.8559  0.0152  1 Ge 1.79, 1 Mn 1.95
O  0.6441  0.8872  0.4848  1 Ge 1.79, 1 Mn 1.95
O  0.7490  0.2510  0.7293  1 Ge 1.78
O  0.7510  0.2490  0.2293  1 Ge 1.78
O  0.8559  0.6128  0.9848  1 Ge 1.79, 1 Mn 1.95
O  0.8872  0.6441  0.5152  1 Ge 1.79, 1 Mn 1.95
O  0.9985  0.0015  0.7450  1 Ge 1.83

***

| no. | uncorrected energy (eV per atom) | theoretical density (g cm⁻³) |
| --- | --- | --- |
| 1 | -6.7165 | 5.7 |
| 2 | -6.7740 | 5.4 |
| 3 | -7.0987 | 4.7 |
| 4 | -6.7559 | 5.1 |
| 5 | -7.2378 | 4.2 |
| 6 | -6.6945 | 4.0 |
| 7 | -5.1778 | 5.5 |
| 8 | -7.0773 | 4.8 |